1.
Density functional theory data (PBE) for an optimized crystal structure of CdAg2Cl.

Structure (POSCAR):
```
CdAg2Cl
1.0
0.000 3.493 3.493
3.493 0.000 3.493
3.493 3.493 0.000
Cd Ag Cl
1 2 1
Direct
0.000 0.000 0.000
0.250 0.250 0.250
0.750 0.750 0.750
0.500 0.500 0.500
```

Calculated values
formation energy (no corrections) = 40 kJ/mol of formula units
energy = -8.048 eV per cell
total magnetization = 0.0 μB per formula unit
E above lowest polymorph = 267 meV per atom

2.
Density functional theory data (PBE) for an optimized crystal structure of MgSiW.

Structure (POSCAR):
```
MgSiW
1.0
4.417 0.000 0.000
-2.208 3.825 0.000
0.000 0.000 2.858
Mg Si W
1 1 1
Direct
0.000 0.000 0.000
0.667 0.333 0.500
0.333 0.667 0.500
```

Calculated values
formation energy (no corrections) = 70 kJ/mol of formula units
energy = -19.249 eV per cell
total magnetization = 0.0 μB per formula unit